1.
# TbEr3Rh8 PBE-GGA optimized geometry
data_TbEr3Rh8
_chemical_formula_sum 'Tb1 Er3 Rh8'
_space_group_name_H-M_alt 'P 3 m 1'
_space_group_IT_number 156
_cell_length_a 5.3210
_cell_length_b 5.3210
_cell_length_c 8.6998
_cell_angle_alpha 90.00
_cell_angle_beta 90.00
_cell_angle_gamma 120.00
loop_
_space_group_symop_operation_xyz
'x,y,z'
'-y,x-y,z'
'-x+y,-x,z'
'-y,-x,z'
'-x+y,y,z'
'x,x-y,z'
loop_
_atom_site_label
_atom_site_type_symbol
_atom_site_fract_x
_atom_site_fract_y
_atom_site_fract_z
Tb1 Tb 0.0000 0.0000 0.0000
Er1 Er 0.0000 0.0000 0.3673
Er2 Er 0.6667 0.3333 0.4992
Er3 Er 0.6667 0.3333 0.8658
Rh1 Rh 0.1642 0.3285 0.6823
Rh2 Rh 0.3333 0.6667 0.4330
Rh3 Rh 0.3333 0.6667 0.9328
Rh4 Rh 0.5025 0.0050 0.1841
# * energy relative to the lowest polymorph listed for this composition: 0.025 eV per atom
# * ΔE_f: -0.733 eV per atom

***

2.
# Fe2SiW PBE-GGA optimized geometry
data_Fe2SiW
_chemical_formula_sum 'Fe2 Si1 W1'
_space_group_name_H-M_alt 'P 1 m 1'
_space_group_IT_number 6
_cell_length_a 2.664
_cell_length_b 4.046
_cell_length_c 4.809
_cell_angle_alpha 90.00
_cell_angle_beta 100.08
_cell_angle_gamma 90.00
loop_
_space_group_symop_operation_xyz
'x,y,z'
'x,-y,z'
loop_
_atom_site_label
_atom_site_type_symbol
_atom_site_fract_x
_atom_site_fract_y
_atom_site_fract_z
Fe1 Fe 0.000 0.000 0.000
Fe2 Fe 0.274 0.500 0.774
Si1 Si 0.942 0.500 0.247
W1 W 0.539 0.000 0.502
# * energy relative to the elements, uncorrected: -11 kJ/mol of formula units

***

3.
# PrMg4Cu2 PBE-GGA optimized geometry
data_PrMg4Cu2
_chemical_formula_sum 'Pr2 Mg8 Cu4'
_space_group_name_H-M_alt 'P 42/m n m'
_space_group_IT_number 136
_space_group_name_Hall '-P 4n 2n'
_cell_length_a 8.280
_cell_length_b 8.280
_cell_length_c 4.311
_cell_angle_alpha 90.00
_cell_angle_beta 90.00
_cell_angle_gamma 90.00
loop_
_atom_site_label
_atom_site_type_symbol
_atom_site_fract_x
_atom_site_fract_y
_atom_site_fract_z
Pr1 Pr 0.000 0.000 0.000
Mg1 Mg 0.085 0.333 0.500
Cu1 Cu 0.218 0.782 0.500
# * energy relative to the lowest polymorph listed for this composition: 0.000 eV per atom
# * ΔE_f: -0.119 eV per atom

***

4.
# ScCo2Rh PBE-GGA optimized geometry
data_ScCo2Rh
_chemical_formula_sum 'Sc4 Co8 Rh4'
_space_group_name_H-M_alt 'I -4 2 d'
_space_group_IT_number 122
_space_group_name_Hall 'I -4 2bw'
_cell_length_a 3.581
_cell_length_b 3.581
_cell_length_c 18.772
_cell_angle_alpha 90.00
_cell_angle_beta 90.00
_cell_angle_gamma 90.00
loop_
_atom_site_label
_atom_site_type_symbol
_atom_site_fract_x
_atom_site_fract_y
_atom_site_fract_z
Sc1 Sc 0.000 0.000 0.000
Co1 Co 0.246 0.250 0.625
Rh1 Rh 0.000 0.000 0.500
# * ΔE_f: 0.092 eV per atom

***

5.
# Ga2Cu2Hg PBE-GGA optimized geometry
data_Ga2Cu2Hg
_chemical_formula_sum 'Ga4 Cu4 Hg2'
_space_group_name_H-M_alt 'I 4/m m m'
_space_group_IT_number 139
_space_group_name_Hall '-I 4 2'
_cell_length_a 3.855
_cell_length_b 3.855
_cell_length_c 11.758
_cell_angle_alpha 90.00
_cell_angle_beta 90.00
_cell_angle_gamma 90.00
loop_
_atom_site_label
_atom_site_type_symbol
_atom_site_fract_x
_atom_site_fract_y
_atom_site_fract_z
Ga1 Ga 0.000 0.000 0.109
Cu1 Cu 0.000 0.500 0.250
Hg1 Hg 0.000 0.000 0.500
# * energy relative to the lowest polymorph listed for this composition: 0.063 eV per atom
# * ΔE_f: 0.137 eV per atom

***

6.
# LaGdMgPt PBE-GGA optimized geometry
data_LaGdMgPt
_chemical_formula_sum 'La4 Gd4 Mg4 Pt4'
_space_group_name_H-M_alt 'F -4 3 m'
_space_group_IT_number 216
_space_group_name_Hall 'F -4 2 3'
_cell_length_a 7.409
_cell_length_b 7.409
_cell_length_c 7.409
_cell_angle_alpha 90.00
_cell_angle_beta 90.00
_cell_angle_gamma 90.00
loop_
_atom_site_label
_atom_site_type_symbol
_atom_site_fract_x
_atom_site_fract_y
_atom_site_fract_z
La1 La 0.000 0.000 0.000
Gd1 Gd 0.000 0.000 0.500
Mg1 Mg 0.250 0.250 0.250
Pt1 Pt 0.250 0.250 0.750
# * ΔE_f: -0.527 eV per atom

***

In states/eV per atom, the D(E_F) values for the records above are, in order, 0.628; 0.852; 0.590; 1.228; 0.402; 0.993.
In Bohr magnetons per cell, the total magnetization values for the records above are, in order, 0.00; 3.46; 0.00; 12.85; 0.00; 28.86.
In Ha/atom, the DFT total energy values for the records above are, in order, -0.263; -0.325; -0.106; -0.253; -0.102; -0.264.